This record from the Alexandria database describes a relaxed BeTl2Zn crystal. The functional is PBE.

The calculation puts the formation energy from the elements at 0.5232 eV/atom. The value obtained for the relative energy among the computed polymorphs is 0.73 eV/f.u. The value obtained for the total magnetic moment is 0.000 μB per formula unit. The value obtained for the density of states at the Fermi level is 3.00 states/eV per cell.

It has space group Cmmm (No. 65), with a = 4.280 Å, b = 5.342 Å, c = 7.569 Å, α = 90.00°, β = 90.00° and γ = 90.00°. The inequivalent atoms are Be at (0.000, 0.000, 0.000), Tl at (0.000, 0.500, 0.227) and Zn at (0.000, 0.000, 0.500).